DFT (PBE) results for a relaxed Ca2LaMgTc crystal.

Unit cell a=5.6789 b=5.9089 c=5.6789 alpha=90.00 beta=90.00 gamma=90.00
Sites, in units of the cell vectors:
Ca1 0.0000 0.0000 0.5000
Ca2 0.5000 0.0000 0.0000
La1 0.0000 0.5000 0.0000
Tc1 0.5000 0.5000 0.5000
Mg1 0.0000 0.0000 0.0000

Computed properties:
- calculated total energy (eV per atom) = -2.972
- ΔE_f (eV per atom) = 1.21
- total magnetic moment (μB per formula unit) = 2.5
- space-group type = No. 123



DFT (PBE) results for a relaxed KRb2CdAg crystal.

Unit cell a=7.0726 b=7.0726 c=5.4864 alpha=90.00 beta=90.00 gamma=90.00
Sites, in units of the cell vectors:
Ag1 0.0000 0.0000 0.5000
Rb1 0.5000 0.0000 0.0000
Rb2 0.0000 0.5000 0.0000
K1 0.5000 0.5000 0.5000
Cd1 0.0000 0.0000 0.0000

Computed properties:
- calculated total energy (eV per atom) = -1.242
- ΔE_f (eV per atom) = 0.12
- total magnetic moment (μB per formula unit) = 0.0
- space-group type = No. 123
- excess energy over the best structure of this formula in the dataset (eV per atom) = 0.057



Which of these has the highest calculated total energy? KRb2CdAg